CrCd2Te | PBE | optimized geometry

a = 9.3664 Å, b = 9.3664 Å, c = 4.8824 Å
α = 90.00°, β = 90.00°, γ = 90.00°
With the nearest neighbours (Å) after each atom.
Space group I-42d (No. 122)
Asymmetric unit:
Cr1 0.0000 0.0000 0.0000  2 Te 2.44
Cd1 0.1384 0.7500 0.1250  2 Cr 2.75
Te1 0.0000 0.0000 0.5000  2 Cr 2.44

The value obtained for the total magnetization is 0.13 μB/f.u. Its calculated volume is 428 Å³/cell. The electronic total energy is -12.238 eV per formula unit. As for the formation energy (no corrections): 0.589 eV/atom.

---

CrCdTe2 | PBE | optimized geometry

a = 7.3878 Å, b = 7.3878 Å, c = 7.3878 Å
α = 90.00°, β = 90.00°, γ = 90.00°
With the nearest neighbours (Å) after each atom.
Space group F-43m (No. 216)
Asymmetric unit:
Cr1 0.0000 0.0000 0.0000  4 Cd 3.20, 4 Te 3.20
Cd1 0.2500 0.2500 0.7500  4 Cr 3.20, 4 Te 3.20
Te1 0.0000 0.0000 0.5000  4 Cd 3.20, 4 Te 3.20
Te2 0.2500 0.2500 0.2500  4 Cr 3.20, 4 Te 3.20

The value obtained for the total magnetization is 4.24 μB/f.u. Its calculated volume is 403 Å³/cell. The electronic total energy is -14.978 eV per formula unit. As for the formation energy (no corrections): 0.461 eV/atom.